DFT (SCAN) results for BaSr3Zn at its PBEsol-relaxed geometry. Values from VASP.

Volume: 239.8 Å³ per cell
Total magnetic moment: 0.16 Bohr magnetons per cell
Uncorrected energy: -24.024 eV per atom
Energy relative to the elements: -0.05 eV/atom

```
&SYSTEM
  ibrav = 0, nat = 5, ntyp = 3
/
ATOMIC_SPECIES
Ba 137.33 Ba.upf
Sr 87.62 Sr.upf
Zn 65.41 Zn.upf
ATOMIC_POSITIONS crystal
Ba 0.500 0.500 0.500
Sr 0.500 0.000 0.000
Sr 0.000 0.000 0.500
Sr 0.000 0.500 0.000
Zn 0.000 0.000 0.000
CELL_PARAMETERS angstrom
-3.324 1.938 4.878
0.943 -5.459 2.811
5.163 2.245 2.627
```

=====

DFT (SCAN) results for CrIr2W at its PBEsol-relaxed geometry. Values from VASP.

Volume: 55.1 Å³ per cell
Total magnetic moment: 1.10 Bohr magnetons per cell
Uncorrected energy: -57.928 eV per atom
Energy relative to the elements: -0.36 eV/atom

```
&SYSTEM
  ibrav = 0, nat = 4, ntyp = 3
/
ATOMIC_SPECIES
Cr 52.00 Cr.upf
W 183.84 W.upf
Ir 192.22 Ir.upf
ATOMIC_POSITIONS crystal
Cr 0.500 0.500 0.000
W 0.000 0.000 0.000
Ir 0.250 0.750 0.500
Ir 0.750 0.250 0.500
CELL_PARAMETERS angstrom
-2.588 2.696 0.741
-2.292 -1.468 -2.666
0.846 -2.863 3.571
```

=====

DFT (SCAN) results for MgAu at its PBEsol-relaxed geometry. Values from VASP.

Volume: 75.0 Å³ per cell
Total magnetic moment: 0.00 Bohr magnetons per cell
Uncorrected energy: -37.572 eV per atom
Energy relative to the elements: -0.51 eV/atom

```
&SYSTEM
  ibrav = 0, nat = 4, ntyp = 2
/
ATOMIC_SPECIES
Mg 24.30 Mg.upf
Au 196.97 Au.upf
ATOMIC_POSITIONS crystal
Mg 0.000 0.000 0.500
Mg 0.000 0.000 0.000
Au 0.667 0.333 0.750
Au 0.333 0.667 0.250
CELL_PARAMETERS angstrom
3.276 0.000 0.000
-1.638 2.837 0.000
0.000 0.000 8.071
```

=====

DFT (SCAN) results for ZnCu2Se at its PBEsol-relaxed geometry. Values from VASP.

Volume: 58.8 Å³ per cell
Total magnetic moment: 0.00 Bohr magnetons per cell
Uncorrected energy: -15.927 eV per atom
Formation energy (no corrections): 71 meV/atom

```
&SYSTEM
  ibrav = 0, nat = 4, ntyp = 3
/
ATOMIC_SPECIES
Cu 63.55 Cu.upf
Zn 65.41 Zn.upf
Se 78.96 Se.upf
ATOMIC_POSITIONS crystal
Cu 0.500 0.500 0.203
Cu 0.000 0.000 0.012
Zn 0.500 0.500 0.804
Se 0.501 0.000 0.481
CELL_PARAMETERS angstrom
-1.925 1.574 1.030
-2.450 -2.422 -0.876
0.716 -2.704 5.472
```

=====

DFT (SCAN) results for LaScCd at its PBEsol-relaxed geometry. Values from VASP.

Volume: 78.6 Å³ per cell
Total magnetic moment: 0.83 Bohr magnetons per cell
Uncorrected energy: -29.496 eV per atom
Energy relative to the elements: -0.24 eV/atom

```
&SYSTEM
  ibrav = 0, nat = 3, ntyp = 3
/
ATOMIC_SPECIES
Cd 112.41 Cd.upf
Sc 44.96 Sc.upf
La 138.91 La.upf
ATOMIC_POSITIONS crystal
Cd 0.983 0.983 0.967
Sc 0.352 0.352 0.704
La 0.665 0.665 0.329
CELL_PARAMETERS angstrom
3.485 0.000 0.000
0.000 3.485 0.000
-1.742 -1.742 6.472
```

=====

DFT (SCAN) results for LiZrAs2 at its PBEsol-relaxed geometry. Values from VASP.

Volume: 70.1 Å³ per cell
Total magnetic moment: 0.00 Bohr magnetons per cell
Uncorrected energy: -19.025 eV per atom
Energy relative to the elements: -0.66 eV/atom

```
&SYSTEM
  ibrav = 0, nat = 4, ntyp = 3
/
ATOMIC_SPECIES
As 74.92 As.upf
Li 6.94 Li.upf
Zr 91.22 Zr.upf
ATOMIC_POSITIONS crystal
As 0.000 0.000 0.500
As 0.000 0.500 0.000
Li 0.500 0.500 0.500
Zr 0.500 0.000 0.000
CELL_PARAMETERS angstrom
-0.459 0.278 2.878
-4.381 -2.183 -0.232
2.078 -4.323 1.005
```